# LaWF3 PBE with a Hubbard U relaxed
data_LaWF3
_space_group_name_H-M_alt 'P m -3 m'
_space_group_IT_number 221
_space_group_name_Hall '-P 4 2 3'
_cell_length_a 4.756
_cell_length_b 4.756
_cell_length_c 4.756
_cell_angle_alpha 90.00
_cell_angle_beta 90.00
_cell_angle_gamma 90.00
loop_
_atom_site_label
_atom_site_fract_x
_atom_site_fract_y
_atom_site_fract_z
_atom_site_occupancy
La1 0.000 0.000 0.000 1
W1 0.500 0.500 0.500 1
F1 0.000 0.000 0.500 1
# Excess energy over the best structure of this formula in the dataset: 0.000 eV/atom